First-principles (PBE-GGA) data for MnAlAu14 after structural relaxation, as listed in Alexandria via LeMat-Bulk.

Summary:
* size of the total moment: 7.5 μB per cell
* total energy: -3.715 eV/atom
* formation enthalpy at 0 K: -41 meV/atom

Unit cell a=9.3801 b=5.9910 c=10.1041 alpha=90.00 beta=90.00 gamma=90.00
Last column: nearest neighbours and their distance in Å.
Space group Amm2 (No. 38)
Inequivalent atoms, fractional coordinates:
Mn  0.0000  0.0000  0.0000 [2 per cell]  10 Au 2.77-3.01, 2 Al 3.00
Al  0.0000  0.0000  0.5010 [2 per cell]  10 Au 2.75-3.00, 2 Mn 3.00
Au  0.0000  0.2496  0.2582 [4 per cell]  8 Au 2.87-3.00, 2 Mn 2.87-3.01, 2 Al 2.87-3.00
Au  0.2339  0.2476  0.5747 [8 per cell]  1 Al 2.75, 1 Mn 2.77, 10 Au 2.87-3.03
Au  0.2497  0.0000  0.3276 [4 per cell]  11 Au 2.87-3.00, 1 Al 2.93
Au  0.2508  0.0000  0.8299 [4 per cell]  11 Au 2.88-3.00, 1 Mn 2.91
Au  0.5000  0.0000  0.1553 [2 per cell]  12 Au 2.90-3.03
Au  0.5000  0.0000  0.6560 [2 per cell]  12 Au 2.90-3.02
Au  0.5000  0.2487  0.4099 [4 per cell]  12 Au 2.90-3.01


First-principles (PBE-GGA) data for Mn2AlAu2 after structural relaxation, as listed in Alexandria via LeMat-Bulk.

Summary:
* size of the total moment: 15.9 μB per cell
* total energy: -5.743 eV/atom
* energy relative to the lowest polymorph listed for this composition: 0.000 eV per atom
* formation enthalpy at 0 K: -15 meV/atom

Unit cell a=7.0858 b=7.0858 c=3.4550 alpha=90.00 beta=90.00 gamma=90.00
Last column: nearest neighbours and their distance in Å.
Space group P4/mbm (No. 127)
Inequivalent atoms, fractional coordinates:
Mn  0.1582  0.3418  0.0000 [4 per cell]  6 Au 2.64-2.75
Al  0.0000  0.0000  0.5000 [2 per cell]  4 Au 2.73
Au  0.1430  0.6430  0.5000 [4 per cell]  6 Mn 2.64-2.75, 2 Al 2.73, 1 Au 2.87


First-principles (PBE-GGA) data for MnAlAu2 after structural relaxation, as listed in Alexandria via LeMat-Bulk.

Summary:
* size of the total moment: 12.6 μB per cell
* total energy: -4.938 eV/atom
* formation enthalpy at 0 K: -71 meV/atom

Unit cell a=3.2130 b=3.2130 c=23.7383 alpha=90.00 beta=90.00 gamma=120.00
Last column: nearest neighbours and their distance in Å.
Space group R-3m (No. 166, hexagonal axes)
Inequivalent atoms, fractional coordinates:
Mn  0.0000  0.0000  0.0000 [3 per cell]  6 Au 2.75
Al  0.0000  0.0000  0.5000 [3 per cell]  6 Au 2.67
Au  0.0000  0.0000  0.2475 [6 per cell]  3 Al 2.67, 3 Mn 2.75